{"formula": "GaOs2Au", "functional": "PBE-GGA", "state": "relaxed", "crystal_system": "tetragonal", "ef_kj_per_mol_atoms": 85.2, "dos_ef_per_ev_cell": 9.8, "cell": [[-3.6346, 3.6346, 2.5386], [3.6346, -3.6346, 2.5386], [3.6346, 3.6346, -2.5386]], "species": ["Ga", "Ga", "Os", "Os", "Os", "Os", "Au", "Au"], "frac_coords": [[0.0000, 0.0000, 0.0000], [0.7500, 0.2500, 0.5000], [0.0978, 0.6250, 0.9728], [0.3750, 0.3478, 0.4728], [0.6522, 0.1250, 0.0272], [0.8750, 0.9022, 0.5272], [0.2500, 0.7500, 0.5000], [0.5000, 0.5000, 0.0000]]}

***

{"formula": "Ac6Ge2RhI3", "functional": "PBE-GGA", "state": "relaxed", "crystal_system": "monoclinic", "formation_energy_uncorrected_ev_per_atom": -0.959, "dos_ef_per_ev_cell": 11.3, "cell": [[4.0186, -6.8750, 0.0000], [4.0186, 6.8750, 0.0000], [-2.6730, 0.0000, 8.0694]], "species": ["Ac", "Ac", "Ac", "Ac", "Ac", "Ac", "Ge", "Ge", "Rh", "I", "I", "I"], "frac_coords": [[0.0647, 0.3810, 0.1943], [0.2540, 0.2540, 0.7959], [0.3810, 0.0647, 0.1943], [0.6190, 0.9353, 0.8057], [0.7460, 0.7460, 0.2041], [0.9353, 0.6190, 0.8057], [0.3345, 0.6655, 0.0000], [0.6655, 0.3345, 0.0000], [0.0000, 0.0000, 0.0000], [0.1772, 0.8228, 0.5000], [0.5000, 0.5000, 0.5000], [0.8228, 0.1772, 0.5000]]}

***

{"formula": "PrBeAu4", "functional": "PBE-GGA", "state": "relaxed", "polymorph_energy_ev_per_atom": 0.0000, "crystal_system": "monoclinic", "ef_kj_per_mol_atoms": -44.6, "dos_ef_per_ev_cell": 6.3, "cell": [[5.1024, -3.1244, 0.0000], [5.1024, 3.1244, 0.0000], [-2.8953, 0.0000, 7.3418]], "species": ["Pr", "Pr", "Be", "Be", "Au", "Au", "Au", "Au", "Au", "Au", "Au", "Au"], "frac_coords": [[0.2076, 0.2076, 0.2994], [0.7924, 0.7924, 0.7006], [0.4621, 0.4621, 0.6971], [0.5379, 0.5379, 0.3029], [0.1476, 0.6596, 0.0927], [0.2383, 0.7617, 0.5000], [0.2524, 0.2524, 0.7317], [0.3404, 0.8524, 0.9073], [0.6596, 0.1476, 0.0927], [0.7476, 0.7476, 0.2683], [0.7617, 0.2383, 0.5000], [0.8524, 0.3404, 0.9073]]}

***

{"formula": "HgP2ClO", "functional": "PBE-GGA", "state": "relaxed", "polymorph_energy_ev_per_atom": 0.7964, "crystal_system": "tetragonal", "formation_energy_uncorrected_ev_per_atom": 1.143, "dos_ef_per_ev_cell": 5.0, "cell": [[5.1111, 0.0000, 0.0000], [0.0000, 5.1111, 0.0000], [0.0000, 0.0000, 4.1642]], "species": ["Hg", "P", "P", "Cl", "O"], "frac_coords": [[0.0000, 0.0000, 0.0000], [0.0000, 0.5000, 0.0000], [0.5000, 0.0000, 0.0000], [0.5000, 0.5000, 0.5000], [0.0000, 0.0000, 0.5000]]}

***

{"formula": "KZrSc2", "functional": "PBE-GGA", "state": "relaxed", "polymorph_energy_ev_per_atom": 0.0134, "crystal_system": "trigonal", "ef_kj_per_mol_atoms": 29.9, "dos_ef_per_ev_cell": 5.2, "cell": [[1.6612, 0.9591, 12.1296], [-1.6612, 0.9591, 12.1296], [0.0000, -1.9182, 12.1296]], "species": ["K", "Zr", "Sc", "Sc"], "frac_coords": [[0.0000, 0.0000, 0.0000], [0.5000, 0.5000, 0.5000], [0.0985, 0.0985, 0.0985], [0.9015, 0.9015, 0.9015]]}

***

{"formula": "CeMn2H6", "functional": "PBE-GGA", "state": "relaxed", "crystal_system": "orthorhombic", "dos_ef_per_ev_cell": 3.6, "energy_ev_per_atom": -5.1850, "cell": [[2.2268, -3.9562, 0.0000], [2.2268, 3.9562, 0.0000], [0.0000, 0.0000, 4.2978]], "species": ["Ce", "Mn", "Mn", "H", "H", "H", "H", "H", "H"], "frac_coords": [[0.0000, 0.0000, 0.0000], [0.3350, 0.6650, 0.5000], [0.6650, 0.3350, 0.5000], [0.0000, 0.5000, 0.2334], [0.0000, 0.5000, 0.7666], [0.2565, 0.2565, 0.5000], [0.5000, 0.0000, 0.2334], [0.5000, 0.0000, 0.7666], [0.7435, 0.7435, 0.5000]]}

***

{"formula": "PrReIO4", "functional": "PBE-GGA", "state": "relaxed", "crystal_system": "monoclinic", "formation_energy_uncorrected_ev_per_atom": -1.945, "dos_ef_per_ev_cell": 2.6, "cell": [[5.6509, -3.6469, 0.0000], [5.6509, 3.6469, 0.0000], [-1.7605, 0.0000, 7.1069]], "species": ["Pr", "Pr", "Re", "Re", "I", "I", "O", "O", "O", "O", "O", "O", "O", "O"], "frac_coords": [[0.2397, 0.2397, 0.1217], [0.7603, 0.7603, 0.8783], [0.3698, 0.3698, 0.7263], [0.6302, 0.6302, 0.2737], [0.0158, 0.0158, 0.7502], [0.9842, 0.9842, 0.2498], [0.1316, 0.4822, 0.8615], [0.2995, 0.2995, 0.4837], [0.4700, 0.4700, 0.2125], [0.4822, 0.1316, 0.8615], [0.5178, 0.8684, 0.1385], [0.5300, 0.5300, 0.7875], [0.7005, 0.7005, 0.5163], [0.8684, 0.5178, 0.1385]]}

***

{"formula": "CsRb3Zn", "functional": "PBE-GGA", "state": "relaxed", "polymorph_energy_ev_per_atom": 0.0000, "crystal_system": "cubic", "ef_kj_per_mol_atoms": 9.2, "dos_ef_per_ev_cell": 3.8, "cell": [[7.3217, 0.0000, 0.0000], [0.0000, 7.3217, 0.0000], [0.0000, 0.0000, 7.3217]], "species": ["Cs", "Rb", "Rb", "Rb", "Zn"], "frac_coords": [[0.0000, 0.0000, 0.0000], [0.0000, 0.5000, 0.5000], [0.5000, 0.0000, 0.5000], [0.5000, 0.5000, 0.0000], [0.5000, 0.5000, 0.5000]]}